Computed, not measured: crystalline YTaZnCu at its relaxed geometry at the PBE-GGA level of DFT.

The structure in POSCAR format:
```
YTaZnCu
1.0
-2.485 -3.981 0.654
-4.729 0.170 0.233
-2.611 -1.771 -3.535
Zn Cu Y Ta
1 1 1 1
direct
0.000 0.000 0.000
0.750 0.750 0.750
0.500 0.500 0.500
0.250 0.250 0.250
```

Summary:
For the formation enthalpy at 0 K, the calculation gives 0.51 eV/atom. The space-group type is F-43m. The calculation puts the energy at -5.3107 eV per atom. The value obtained for the theoretical density is 8.81 g/cm3. The energy above the lowest structure with this stoichiometry comes out at 0.000 eV/atom.

Computed, not measured: crystalline TaZnCu2 at its relaxed geometry at the PBE-GGA level of DFT.

The structure in POSCAR format:
```
TaZnCu2
1.0
0.000 3.023 3.023
3.023 0.000 3.023
3.023 3.023 0.000
Cu Ta Zn
2 1 1
direct
0.750 0.750 0.750
0.000 0.000 0.000
0.250 0.250 0.250
0.500 0.500 0.500
```

Summary:
For the formation enthalpy at 0 K, the calculation gives 0.16 eV/atom. The space-group type is F-43m. The calculation puts the energy at -4.9733 eV per atom. The value obtained for the theoretical density is 11.23 g/cm3.